This record from the Alexandria database describes ReAsRu4 after structural relaxation. The functional is PBE-GGA.

Geometry as extended XYZ:
```
6
Lattice="0.000 3.592 3.592 3.592 0.000 3.592 3.592 3.592 0.000" Properties=species:S:1:pos:R:3 pbc="T T T"
Ru 4.491 2.693 2.693
Ru 2.693 2.693 4.491
Ru 4.491 4.491 4.491
Ru 2.693 4.491 2.693
As 1.796 1.796 1.796
Re 0.000 0.000 0.000
```

The formation energy comes out at 0.777 eV/atom. The total energy is -0.3034 Ha/atom.

This record from the Alexandria database describes Pm6NdTm6 after structural relaxation. The functional is PBE-GGA.

Geometry as extended XYZ:
```
13
Lattice="-3.097 -2.897 5.194 -2.393 -0.817 -6.210 6.507 -9.267 -1.289" Properties=species:S:1:pos:R:3 pbc="T T T"
Pm 0.626 -6.143 -3.053
Pm -2.628 -1.510 -2.409
Pm 2.246 -3.199 -0.445
Pm 4.261 -6.068 -0.844
Pm 0.391 -6.837 0.748
Pm -2.862 -2.204 1.393
Tm -1.145 -4.135 -0.825
Tm 2.163 -8.845 -1.480
Tm 0.051 -3.727 2.280
Tm 3.711 -7.397 -4.077
Tm 3.359 -8.437 1.625
Tm 0.403 -2.686 -3.422
Nd 0.000 0.000 0.000
```

The formation energy comes out at 0.252 eV/atom. The total energy is -0.1606 Ha/atom.

This record from the Alexandria database describes Mg2MoPt after structural relaxation. The functional is PBE-GGA.

Geometry as extended XYZ:
```
4
Lattice="5.184 0.013 0.000 -2.108 4.737 0.000 0.000 0.000 2.736" Properties=species:S:1:pos:R:3 pbc="T T T"
Mg 0.000 0.000 0.000
Mg 1.538 2.375 0.000
Pt -1.054 2.368 1.368
Mo 2.592 0.007 1.368
```

The formation energy comes out at -0.037 eV/atom. The total energy is -0.1857 Ha/atom.

This record from the Alexandria database describes Pm3CdP2Rh9 after structural relaxation. The functional is PBE-GGA.

Geometry as extended XYZ:
```
15
Lattice="-4.897 -0.845 -3.444 5.513 -0.234 -2.473 0.389 -9.439 1.762" Properties=species:S:1:pos:R:3 pbc="T T T"
Rh 0.308 -0.540 -2.959
Rh 1.356 -3.267 -4.060
Rh -0.011 -7.847 -3.367
Rh 1.016 -2.671 -0.789
Rh -3.058 -7.718 -1.999
Rh -0.351 -7.251 -0.095
Rh 2.756 -0.117 -1.237
Rh -2.449 -0.422 -1.722
Rh 4.063 -2.800 -2.156
Pm 0.000 0.000 0.000
Pm -1.317 -3.321 -2.620
Pm 2.321 -7.197 -1.535
P -1.099 -8.605 -1.634
P 2.103 -1.913 -2.522
Cd 0.195 -4.719 0.881
```

The formation energy comes out at -0.538 eV/atom. The total energy is -0.2455 Ha/atom.